# PBE-GGA In2BMoRu, optimized geometry
# D(E_F) ... 3.61 states/eV per cell
# Total DFT energy (no corrections) ... -5.683 eV/atom
# Formation energy ... 770 meV per atom
# V ... 85.9 Å³/cell
data_In2BMoRu
_chemical_formula_sum 'In2 B1 Mo1 Ru1'
_cell_length_a 4.665
_cell_length_b 4.665
_cell_length_c 3.948
_cell_angle_alpha 90.00
_cell_angle_beta 90.00
_cell_angle_gamma 90.00
_space_group_name_H-M_alt 'P 4/m m m'
_space_group_IT_number 123
_space_group_name_Hall '-P 4 2'
loop_
_atom_site_label
_atom_site_type_symbol
_atom_site_fract_x
_atom_site_fract_y
_atom_site_fract_z
In1 In 0.000 0.500 0.000
B1 B 0.000 0.000 0.000
Mo1 Mo 0.500 0.500 0.500
Ru1 Ru 0.000 0.000 0.500

# PBE-GGA ScMo2Ir, optimized geometry
# D(E_F) ... 17.53 states/eV per cell
# E above lowest polymorph ... 570.2 meV/atom
# Total DFT energy (no corrections) ... -8.905 eV/atom
# Formation energy ... 308 meV per atom
# V ... 293.6 Å³/cell
data_ScMo2Ir
_chemical_formula_sum 'Sc4 Mo8 Ir4'
_cell_length_a 7.559
_cell_length_b 7.559
_cell_length_c 5.138
_cell_angle_alpha 90.00
_cell_angle_beta 90.00
_cell_angle_gamma 90.00
_space_group_name_H-M_alt 'I -4 2 d'
_space_group_IT_number 122
_space_group_name_Hall 'I -4 2bw'
loop_
_atom_site_label
_atom_site_type_symbol
_atom_site_fract_x
_atom_site_fract_y
_atom_site_fract_z
Sc1 Sc 0.000 0.000 0.000
Mo1 Mo 0.212 0.250 0.625
Ir1 Ir 0.000 0.000 0.500

# PBE-GGA Sm7Mg2Ag2, optimized geometry
# D(E_F) ... 29.96 states/eV per cell
# Total DFT energy (no corrections) ... -3.671 eV/atom
# Formation energy ... 140 meV per atom
# V ... 705.0 Å³/cell
data_Sm7Mg2Ag2
_chemical_formula_sum 'Sm14 Mg4 Ag4'
_cell_length_a 7.983
_cell_length_b 11.372
_cell_length_c 7.766
_cell_angle_alpha 90.00
_cell_angle_beta 90.00
_cell_angle_gamma 90.00
_space_group_name_H-M_alt 'C m m m'
_space_group_IT_number 65
_space_group_name_Hall '-C 2 2'
loop_
_atom_site_label
_atom_site_type_symbol
_atom_site_fract_x
_atom_site_fract_y
_atom_site_fract_z
Sm1 Sm 0.000 0.000 0.000
Sm2 Sm 0.000 0.500 0.252
Sm3 Sm 0.250 0.250 0.276
Mg1 Mg 0.172 0.000 0.500
Ag1 Ag 0.000 0.290 0.000

# PBE-GGA Dy2RuCl, optimized geometry
# Uncorrected formation energy ... -0.834 eV/atom
# D(E_F) ... 7.74 states/eV per cell
# E above lowest polymorph ... 143.3 meV/atom
# Total DFT energy (no corrections) ... -5.916 eV/atom
# V ... 299.6 Å³/cell
data_Dy2RuCl
_chemical_formula_sum 'Dy6 Ru3 Cl3'
_cell_length_a 3.9003
_cell_length_b 3.9003
_cell_length_c 22.7405
_cell_angle_alpha 90.00
_cell_angle_beta 90.00
_cell_angle_gamma 120.00
_space_group_name_H-M_alt 'R 3 m'
_space_group_IT_number 160
_space_group_name_Hall 'R 3 -2"'
loop_
_atom_site_label
_atom_site_type_symbol
_atom_site_fract_x
_atom_site_fract_y
_atom_site_fract_z
Dy1 Dy 0.0000 0.0000 0.0000
Dy2 Dy 0.0000 0.0000 0.1990
Ru1 Ru 0.0000 0.0000 0.5989
Cl1 Cl 0.0000 0.0000 0.4285

# PBE-GGA TbDy2CuTe5, optimized geometry
# Uncorrected formation energy ... -1.120 eV/atom
# D(E_F) ... 1.08 states/eV per cell
# Total DFT energy (no corrections) ... -4.858 eV/atom
# V ... 1029.3 Å³/cell
data_TbDy2CuTe5
_chemical_formula_sum 'Tb4 Dy8 Cu4 Te20'
_cell_length_a 4.230
_cell_length_b 18.858
_cell_length_c 12.904
_cell_angle_alpha 90.00
_cell_angle_beta 90.00
_cell_angle_gamma 90.00
_space_group_name_H-M_alt 'C m c 21'
_space_group_IT_number 36
_space_group_name_Hall 'C 2c -2'
loop_
_atom_site_label
_atom_site_type_symbol
_atom_site_fract_x
_atom_site_fract_y
_atom_site_fract_z
Tb1 Tb 0.000 0.189 0.000
Dy1 Dy 0.000 0.109 0.674
Dy2 Dy 0.000 0.123 0.295
Cu1 Cu 0.000 0.430 0.450
Te1 Te 0.000 0.039 0.058
Te2 Te 0.000 0.287 0.667
Te3 Te 0.000 0.316 0.329
Te4 Te 0.000 0.355 0.990
Te5 Te 0.000 0.499 0.777

# PBE-GGA AlSn3N, optimized geometry
# Uncorrected formation energy ... 0.530 eV/atom
# D(E_F) ... 2.00 states/eV per cell
# E above lowest polymorph ... 0.0 meV/atom
# Total DFT energy (no corrections) ... -4.285 eV/atom
# V ... 108.8 Å³/cell
data_AlSn3N
_chemical_formula_sum 'Al1 Sn3 N1'
_cell_length_a 4.774
_cell_length_b 4.774
_cell_length_c 4.774
_cell_angle_alpha 90.00
_cell_angle_beta 90.00
_cell_angle_gamma 90.00
_space_group_name_H-M_alt 'P m -3 m'
_space_group_IT_number 221
_space_group_name_Hall '-P 4 2 3'
loop_
_atom_site_label
_atom_site_type_symbol
_atom_site_fract_x
_atom_site_fract_y
_atom_site_fract_z
Al1 Al 0.000 0.000 0.000
Sn1 Sn 0.000 0.500 0.500
N1 N 0.500 0.500 0.500